Entry A
## TiNbZnMo (PBE)

Data for TiNbZnMo after structural relaxation.

Cell: 3.2781 3.2781 6.0583 Å, 90.00 90.00 90.00°
Sites, in units of the cell vectors:
Ti1 0.5000 0.5000 0.1100
Nb1 0.5000 0.5000 0.5986
Zn1 0.0000 0.0000 0.8643
Mo1 0.0000 0.0000 0.3551

Values from the calculation:
- space group = P4mm, No. 99
- crystal system = tetragonal
- magnetic moment (μB/f.u.) = 0.00

Entry B
## TiNbZnMo (PBE)

Data for TiNbZnMo after structural relaxation.

Cell: 4.5203 4.5203 4.5203 Å, 60.00 60.00 60.00°
Sites, in units of the cell vectors:
Zn1 0.5000 0.5000 0.5000
Mo1 0.0000 0.0000 0.0000
Nb1 0.7500 0.7500 0.7500
Ti1 0.2500 0.2500 0.2500

Values from the calculation:
- space group = F-43m, No. 216
- crystal system = cubic
- magnetic moment (μB/f.u.) = 0.00

The structure with the most favorable energy is entry A; the runner-up is 7.8 kJ/mol of atoms above it.

Entry A
## Nb2TlMo2 (PBE)

Data for Nb2TlMo2 after structural relaxation.

Cell: 7.7623 7.7623 3.1842 Å, 90.00 90.00 90.00°
Sites, in units of the cell vectors:
Tl1 0.0000 0.0000 0.0000
Tl2 0.5000 0.5000 0.0000
Mo1 0.1494 0.6494 0.5000
Mo2 0.6494 0.8506 0.5000
Mo3 0.8506 0.3506 0.5000
Mo4 0.3506 0.1494 0.5000
Nb1 0.3579 0.8579 0.0000
Nb2 0.8579 0.6421 0.0000
Nb3 0.6421 0.1421 0.0000
Nb4 0.1421 0.3579 0.0000

Values from the calculation:
- space group = P4/mbm, No. 127
- crystal system = tetragonal
- magnetic moment (μB/f.u.) = 0.00

Entry B
## Nb2TlMo2 (PBE)

Data for Nb2TlMo2 after structural relaxation.

Cell: 4.1681 4.1681 6.6603 Å, 71.77 71.77 90.00°
Sites, in units of the cell vectors:
Tl1 0.0000 0.0000 0.0000
Mo1 0.7500 0.2500 0.5000
Mo2 0.2500 0.7500 0.5000
Nb1 0.3835 0.3835 0.2329
Nb2 0.6165 0.6165 0.7671

Values from the calculation:
- space group = I4/mmm, No. 139
- crystal system = tetragonal
- magnetic moment (μB/f.u.) = 0.00

The structure with the most favorable energy is entry A; the runner-up is 20.8 kJ/mol of atoms above it.

Entry A
## NbTlMo2 (PBE)

Data for NbTlMo2 after structural relaxation.

Cell: 7.4991 7.4991 6.0042 Å, 51.36 51.36 90.00°
Sites, in units of the cell vectors:
Tl1 0.0000 0.0000 0.0000
Tl2 0.7500 0.2500 0.5000
Mo1 0.5907 0.1250 0.2500
Mo2 0.1593 0.6250 0.2500
Mo3 0.3750 0.4093 0.7500
Mo4 0.8750 0.8407 0.7500
Nb1 0.5000 0.5000 0.0000
Nb2 0.2500 0.7500 0.5000

Values from the calculation:
- space group = I-42d, No. 122
- crystal system = tetragonal
- magnetic moment (μB/f.u.) = 0.00

Entry B
## NbTlMo2 (PBE)

Data for NbTlMo2 after structural relaxation.

Cell: 4.6626 4.6626 4.6626 Å, 60.00 60.00 60.00°
Last column: magnetic moment on the atom in μB.
Sites, in units of the cell vectors:
Tl1 0.5000 0.5000 0.5000  0.01
Mo1 0.2500 0.2500 0.2500  0.36
Mo2 0.7500 0.7500 0.7500  0.36
Nb1 0.0000 0.0000 0.0000  -0.03

Values from the calculation:
- space group = Fm-3m, No. 225
- crystal system = cubic
- magnetic moment (μB/f.u.) = 0.81

The structure with the most favorable energy is entry B; the runner-up is 48.4 kJ/mol of atoms above it.

Entry A
## UNbMo (PBE)

Data for UNbMo after structural relaxation.

Cell: 3.4048 3.4048 5.3928 Å, 108.40 108.40 90.00°
Last column: magnetic moment on the atom in μB.
Sites, in units of the cell vectors:
Mo1 0.2735 0.2735 0.5471  -0.03
U1 0.6235 0.6235 0.2470  0.92
Nb1 0.9530 0.9530 0.9060  0.08

Values from the calculation:
- space group = I4mm, No. 107
- crystal system = tetragonal
- magnetic moment (μB/f.u.) = 1.02

Entry B
## UNbMo (PBE)

Data for UNbMo after structural relaxation.

Cell: 2.9372 4.6342 4.6342 Å, 120.00 90.00 90.00°
Last column: magnetic moment on the atom in μB.
Sites, in units of the cell vectors:
Mo1 0.6226 0.6667 0.3333  -0.03
U1 0.3395 0.3333 0.6667  0.92
Nb1 0.0379 0.0000 0.0000  0.03

Values from the calculation:
- space group = P3m1, No. 156
- crystal system = trigonal
- magnetic moment (μB/f.u.) = 0.94

The structure with the most favorable energy is entry B; the runner-up is 7.8 kJ/mol of atoms above it.

Entry A
## UNb2Mo (PBE)

Data for UNb2Mo after structural relaxation.

Cell: 4.6909 4.6909 4.6909 Å, 60.00 60.00 60.00°
Sites, in units of the cell vectors:
Mo1 0.0000 0.0000 0.0000
U1 0.5000 0.5000 0.5000
Nb1 0.2500 0.2500 0.2500
Nb2 0.7500 0.7500 0.7500

Values from the calculation:
- space group = Fm-3m, No. 225
- crystal system = cubic
- magnetic moment (μB/f.u.) = 0.00

Entry B
## UNb2Mo (PBE)

Data for UNb2Mo after structural relaxation.

Cell: 3.3373 3.3373 6.5924 Å, 90.00 90.00 90.00°
Sites, in units of the cell vectors:
Mo1 0.5000 0.5000 0.0000
U1 0.5000 0.5000 0.5000
Nb1 0.0000 0.0000 0.7574
Nb2 0.0000 0.0000 0.2426

Values from the calculation:
- space group = P4/mmm, No. 123
- crystal system = tetragonal
- magnetic moment (μB/f.u.) = 0.00

Entry C
## UNb2Mo (PBE)

Data for UNb2Mo after structural relaxation.

Cell: 3.2625 4.7606 4.7606 Å, 90.00 90.00 90.00°
Last column: magnetic moment on the atom in μB.
Sites, in units of the cell vectors:
Mo1 0.5000 0.0000 0.0000  -0.03
U1 0.5000 0.5000 0.5000  0.65
Nb1 0.0000 0.0000 0.5000  0.06
Nb2 0.0000 0.5000 0.0000  0.06

Values from the calculation:
- space group = P4/mmm, No. 123
- crystal system = tetragonal
- magnetic moment (μB/f.u.) = 0.79

The structure with the most favorable energy is entry A; the runner-up is 4.2 kJ/mol of atoms above it.

Entry A
## NbVMo6 (PBE)

Data for NbVMo6 after structural relaxation.

Cell: 5.5821 5.5821 5.5821 Å, 110.35 110.35 110.35°
Sites, in units of the cell vectors:
Nb1 0.0000 0.0000 0.0000
V1 0.5000 0.5000 0.5000
Mo1 0.2509 0.7411 0.2509
Mo2 0.2509 0.2509 0.7411
Mo3 0.7491 0.2589 0.7491
Mo4 0.2589 0.7491 0.7491
Mo5 0.7491 0.7491 0.2589
Mo6 0.7411 0.2509 0.2509

Values from the calculation:
- space group = R-3m, No. 166
- crystal system = trigonal
- magnetic moment (μB/f.u.) = 0.00

Entry B
## NbVMo6 (PBE)

Data for NbVMo6 after structural relaxation.

Cell: 4.4709 6.3279 5.4816 Å, 125.25 90.00 90.00°
Sites, in units of the cell vectors:
Nb1 0.5000 0.6268 0.2536
V1 0.0000 0.8752 0.7504
Mo1 0.0000 0.8776 0.2495
Mo2 0.0000 0.3719 0.2495
Mo3 0.0000 0.3748 0.7496
Mo4 0.5000 0.6272 0.7506
Mo5 0.5000 0.1235 0.7506
Mo6 0.5000 0.1231 0.2461

Values from the calculation:
- space group = Amm2, No. 38
- crystal system = orthorhombic
- magnetic moment (μB/f.u.) = 0.00

The structure with the most favorable energy is entry B; the runner-up is 27.4 kJ/mol of atoms above it.